Computed, not measured: crystalline Al3GeO at its relaxed geometry at the PBE-GGA level of DFT.

## Properties
* space group: No. 221

Lattice parameters (Å, degrees): 4.848 4.848 4.848 90.00 90.00 90.00
Sites, in units of the cell vectors:
Al 0.000 0.000 0.500
Al 0.000 0.500 0.000
Al 0.500 0.000 0.000
Ge 0.000 0.000 0.000
O 0.500 0.500 0.500


Computed, not measured: crystalline Al2Ge2O7 at its relaxed geometry at the PBE-GGA level of DFT.

## Properties
* space group: No. 14

Lattice parameters (Å, degrees): 5.019 9.726 5.476 90.00 104.55 90.00
Sites, in units of the cell vectors:
Al 0.166 0.192 0.336
Al 0.166 0.308 0.836
Al 0.834 0.692 0.164
Al 0.834 0.808 0.664
Ge 0.338 0.601 0.680
Ge 0.338 0.899 0.180
Ge 0.662 0.101 0.820
Ge 0.662 0.399 0.320
O 0.068 0.712 0.506
O 0.068 0.788 0.006
O 0.192 0.010 0.354
O 0.192 0.490 0.854
O 0.398 0.218 0.669
O 0.398 0.282 0.169
O 0.500 0.000 0.000
O 0.500 0.500 0.500
O 0.602 0.718 0.831
O 0.602 0.782 0.331
O 0.808 0.510 0.146
O 0.808 0.990 0.646
O 0.932 0.212 0.994
O 0.932 0.288 0.494


Computed, not measured: crystalline AlGeO4 at its relaxed geometry at the PBE-GGA level of DFT.

## Properties
* space group: No. 109

Lattice parameters (Å, degrees): 5.316 5.316 5.316 107.30 107.30 113.92
Sites, in units of the cell vectors:
Al 0.000 0.000 0.000
Al 0.750 0.250 0.500
Ge 0.246 0.746 0.500
Ge 0.496 0.496 0.000
O 0.051 0.249 0.802
O 0.447 0.249 0.198
O 0.498 0.192 0.695
O 0.498 0.803 0.305
O 0.553 0.748 0.805
O 0.942 0.748 0.195
O 0.999 0.301 0.302
O 0.999 0.697 0.698


no.,formation energy (no corrections) (eV per atom)
1,0.8656
2,-2.2150
3,-1.9184